CoMoSe2 | PBE-GGA | optimized geometry

Cell and atoms, written as POSCAR:
```
CoMoSe2
1.0
-4.679 -0.656 5.471
-5.020 -4.699 2.230
6.654 1.678 -2.273
Co Se Mo
1 2 1
Direct
0.750 0.250 0.500
0.876 0.876 0.000
0.624 0.624 0.000
0.250 0.750 0.500
```

Calculated values
- Polymorph energy (0 for the lowest one): 199 meV per atom
- Calculated total energy: -25.1 eV/cell
- Symmetry: Immm (71)
- E_form (uncorrected): -55 meV/atom